Record 1
Entry from the Open Quantum Materials Database: a relaxed Li4NiGe2Pd crystal (GGA-PBE).

a b c (Å): 4.1754 4.1754 5.9875
angles (deg): 90.00 90.00 90.00
Closest atoms and distances in Å follow each position.
Element x y z (fractional)
1 Li 0.0000 0.0000 0.0000  4 Li 2.60, 4 Ge 2.64
2 Li 0.0000 0.5000 0.7424  4 Li 2.54-2.60, 2 Ni 2.54, 2 Pd 2.60, 1 Ge 2.84
3 Li 0.5000 0.0000 0.2576  4 Li 2.54-2.60, 2 Ni 2.54, 2 Pd 2.60, 1 Ge 2.84
4 Li 0.5000 0.5000 0.5000  4 Ge 2.50, 4 Li 2.54
5 Ni 0.0000 0.0000 0.5000  4 Ge 2.50, 4 Li 2.54
6 Ge 0.0000 0.5000 0.2688  4 Li 2.50-2.64, 2 Ni 2.50, 2 Pd 2.64
7 Ge 0.5000 0.0000 0.7312  4 Li 2.50-2.64, 2 Ni 2.50, 2 Pd 2.64
8 Pd 0.5000 0.5000 0.0000  4 Li 2.60, 4 Ge 2.64

## Properties
V = 13.05 Å³/atom
Size of the total moment = 0.0 μB per formula unit
Calculated density = 5.4 g cm⁻³
Symmetry = P-4m2 (115)
Raw total energy = -0.288 Ry/atom

***

Record 2
Entry from the Open Quantum Materials Database: a relaxed Ho2Al4CoIr crystal (GGA-PBE).

a b c (Å): 7.0866 4.1053 10.0330
angles (deg): 90.00 90.00 90.00
Closest atoms and distances in Å follow each position.
Element x y z (fractional)
1 Ho 0.0000 0.0000 0.0000  3 Co 2.77-3.04, 4 Al 3.09
2 Ho 0.0000 0.5000 0.5000  3 Co 2.77-3.04, 4 Al 3.09
3 Ho 0.5000 0.0000 0.1272  3 Ir 2.82-3.01, 6 Al 3.14-3.15
4 Ho 0.5000 0.5000 0.6272  3 Ir 2.82-3.01, 6 Al 3.14-3.15
5 Al 0.1871 0.0000 0.7169  2 Co 2.52, 1 Ir 2.57, 1 Al 2.65
6 Al 0.1871 0.5000 0.2169  2 Co 2.52, 1 Ir 2.57, 1 Al 2.65
7 Al 0.2967 0.0000 0.4053  1 Co 2.47, 2 Ir 2.58
8 Al 0.2967 0.5000 0.9053  1 Co 2.47, 2 Ir 2.58
9 Al 0.7033 0.0000 0.4053  1 Co 2.47, 2 Ir 2.58
10 Al 0.7033 0.5000 0.9053  1 Co 2.47, 2 Ir 2.58
11 Al 0.8129 0.0000 0.7169  2 Co 2.52, 1 Ir 2.57, 1 Al 2.65
12 Al 0.8129 0.5000 0.2169  2 Co 2.52, 1 Ir 2.57, 1 Al 2.65
13 Co 0.0000 0.0000 0.2763  6 Al 2.47-2.52
14 Co 0.0000 0.5000 0.7763  6 Al 2.47-2.52
15 Ir 0.5000 0.0000 0.8463  6 Al 2.57-2.58, 1 Ho 2.82
16 Ir 0.5000 0.5000 0.3463  6 Al 2.57-2.58, 1 Ho 2.82

## Properties
V = 18.24 Å³/atom
Size of the total moment = 0.0 μB per formula unit
Calculated density = 7.8 g cm⁻³
Symmetry = Amm2 (38)
Raw total energy = -0.419 Ry/atom

***

Record 3
Entry from the Open Quantum Materials Database: a relaxed NdGdCd6 crystal (GGA-PBE).

a b c (Å): 6.6759 6.6759 5.0028
angles (deg): 90.00 90.00 120.00
Closest atoms and distances in Å follow each position.
Element x y z (fractional)
1 Nd 0.0000 0.0000 0.0000  12 Cd 3.21-3.34
2 Gd 0.6667 0.3333 0.5000  12 Cd 3.18-3.34
3 Cd 0.0075 0.5038 0.0000  8 Cd 3.12-3.41, 2 Gd 3.18, 2 Nd 3.34
4 Cd 0.1737 0.3475 0.5000  8 Cd 3.12-3.48, 2 Nd 3.21, 2 Gd 3.34
5 Cd 0.1737 0.8263 0.5000  8 Cd 3.12-3.48, 2 Nd 3.21, 2 Gd 3.34
6 Cd 0.4962 0.5038 0.0000  8 Cd 3.12-3.41, 2 Gd 3.18, 2 Nd 3.34
7 Cd 0.4962 0.9925 0.0000  8 Cd 3.12-3.41, 2 Gd 3.18, 2 Nd 3.34
8 Cd 0.6525 0.8263 0.5000  8 Cd 3.12-3.48, 2 Nd 3.21, 2 Gd 3.34

## Properties
V = 24.14 Å³/atom
Size of the total moment = 0.0 μB per formula unit
Calculated density = 8.4 g cm⁻³
Symmetry = P-6m2 (187)
Raw total energy = -0.159 Ry/atom
Formation energy = -313.2 meV per atom

***

Record 4
Entry from the Open Quantum Materials Database: a relaxed HoPu2Co9 crystal (GGA-PBE).

a b c (Å): 8.4618 8.4618 8.4618
angles (deg): 32.50 32.50 32.50
Closest atoms and distances in Å follow each position.
Element x y z (fractional)
1 Ho 0.0000 0.0000 0.0000  6 Co 2.73
2 Pu 0.1451 0.1451 0.1451  12 Co 2.78-2.89, 3 Pu 2.92
3 Pu 0.8549 0.8549 0.8549  12 Co 2.78-2.89, 3 Pu 2.92
4 Co 0.0826 0.5823 0.5823  7 Co 2.37-2.44
5 Co 0.3326 0.3326 0.3326  6 Co 2.39-2.42
6 Co 0.4177 0.4177 0.9174  7 Co 2.37-2.44
7 Co 0.4177 0.9174 0.4177  7 Co 2.37-2.44
8 Co 0.5000 0.5000 0.5000  6 Co 2.44
9 Co 0.5823 0.0826 0.5823  7 Co 2.37-2.44
10 Co 0.5823 0.5823 0.0826  7 Co 2.37-2.44
11 Co 0.6674 0.6674 0.6674  6 Co 2.39-2.42
12 Co 0.9174 0.4177 0.4177  7 Co 2.37-2.44

## Properties
V = 12.96 Å³/atom
Size of the total moment = 4.6 μB per formula unit
Calculated density = 12.6 g cm⁻³
Symmetry = R-3m (166)
Raw total energy = -0.590 Ry/atom
Formation energy = 42.4 meV per atom